Arrangement 1

First-principles (GGA-PBE) data for a geometry-optimized Pr6Sm structure, as listed in Alexandria via LeMat-Bulk.

Lattice parameters (Å, degrees): 8.3042 8.3042 8.3042 90.00 90.00 90.00
With the nearest neighbours (Å) after each atom.
Space group Im-3m (No. 229)
One atom of each set of equivalent atoms:
Pr 0.0000 0.2500 0.5000 x12  4 Pr 2.94
Sm 0.0000 0.0000 0.0000 x2  24 Pr 4.64

Properties
calculated volume = 40.90 Å³/atom


Arrangement 2

First-principles (GGA-PBE) data for a geometry-optimized Pr6Sm structure, as listed in Alexandria via LeMat-Bulk.

Lattice parameters (Å, degrees): 15.4879 15.4879 3.6450 90.00 90.00 120.00
With the nearest neighbours (Å) after each atom.
Space group R-3 (No. 148, hexagonal axes)
One atom of each set of equivalent atoms:
Pr 0.0357 0.2303 0.2296 x18  1 Sm 3.47, 9 Pr 3.56-3.87
Sm 0.0000 0.0000 0.5000 x3  6 Pr 3.47, 2 Sm 3.65

Properties
calculated volume = 36.06 Å³/atom


The least stable of them is arrangement 1.


Arrangement 1

First-principles (GGA-PBE) data for a geometry-optimized Pr2Sm5 structure, as listed in Alexandria via LeMat-Bulk.

Lattice parameters (Å, degrees): 5.7810 5.7810 25.1179 90.00 90.00 120.00
With the nearest neighbours (Å) after each atom.
Space group R-3m (No. 166, hexagonal axes)
One atom of each set of equivalent atoms:
Pr 0.0000 0.0000 0.1355 x6  5 Sm 3.40-3.61, 3 Pr 3.69
Sm 0.0000 0.0000 0.0000 x3  2 Pr 3.40, 6 Sm 3.66
Sm 0.0000 0.0000 0.2731 x6  7 Sm 3.38-3.66, 1 Pr 3.46
Sm 0.0000 0.0000 0.4142 x6  4 Sm 3.38-3.54, 3 Pr 3.61

Properties
calculated volume = 34.62 Å³/atom


Arrangement 2

First-principles (GGA-PBE) data for a geometry-optimized Pr2Sm5 structure, as listed in Alexandria via LeMat-Bulk.

Lattice parameters (Å, degrees): 11.5558 5.1723 8.1630 90.00 98.07 90.00
With the nearest neighbours (Å) after each atom.
Space group C2/m (No. 12)
One atom of each set of equivalent atoms:
Pr 0.2138 0.0000 0.1437 x4  10 Sm 3.65-3.67, 2 Pr 3.67
Sm 0.0000 0.5000 0.0000 x2  6 Sm 3.65-3.67, 6 Pr 3.65-3.66
Sm 0.0715 0.0000 0.7120 x4  8 Sm 3.62-3.67, 4 Pr 3.65-3.67
Sm 0.1424 0.5000 0.4282 x4  9 Sm 3.64-3.66, 3 Pr 3.65

Properties
calculated volume = 34.51 Å³/atom


The least stable of them is arrangement 1.


Arrangement 1

First-principles (GGA-PBE) data for a geometry-optimized Pr2SmSn structure, as listed in Alexandria via LeMat-Bulk.

Lattice parameters (Å, degrees): 3.5212 27.5254 5.6938 90.00 90.00 90.00
With the nearest neighbours (Å) after each atom.
Space group Cmcm (No. 63)
One atom of each set of equivalent atoms:
Pr 0.0000 0.0948 0.2500 x4  2 Sn 3.28, 3 Sm 3.36-3.40, 2 Pr 3.52
Pr 0.0000 0.1891 0.7500 x4  5 Sn 3.19-3.35, 2 Pr 3.52
Sm 0.0000 0.0271 0.7500 x4  4 Sm 3.21-3.52, 3 Pr 3.36-3.40
Sn 0.0000 0.3048 0.7500 x4  7 Pr 3.19-3.35, 2 Sn 3.52

Properties
calculated volume = 34.49 Å³/atom


Arrangement 2

First-principles (GGA-PBE) data for a geometry-optimized Pr2SmSn structure, as listed in Alexandria via LeMat-Bulk.

Lattice parameters (Å, degrees): 7.9149 7.9149 7.9149 90.00 90.00 90.00
With the nearest neighbours (Å) after each atom.
Space group Fm-3m (No. 225)
One atom of each set of equivalent atoms:
Pr 0.2500 0.2500 0.2500 x8  4 Sn 3.43, 4 Sm 3.43
Sm 0.0000 0.0000 0.0000 x4  8 Pr 3.43
Sn 0.0000 0.0000 0.5000 x4  8 Pr 3.43

Properties
calculated volume = 30.99 Å³/atom


The least stable of them is arrangement 1.


Arrangement 1

First-principles (GGA-PBE) data for a geometry-optimized PrSmSn structure, as listed in Alexandria via LeMat-Bulk.

Lattice parameters (Å, degrees): 4.2028 4.2028 10.0396 90.00 90.00 90.00
With the nearest neighbours (Å) after each atom.
Space group I4mm (No. 107)
One atom of each set of equivalent atoms:
Pr 0.0000 0.0000 0.0000 x2  1 Sm 3.12, 5 Sn 3.37-3.42
Sm 0.0000 0.0000 0.6892 x2  1 Pr 3.12, 4 Sn 3.34
Sn 0.0000 0.0000 0.3410 x2  5 Sm 3.34-3.50, 5 Pr 3.37-3.42

Properties
calculated volume = 29.56 Å³/atom


Arrangement 2

First-principles (GGA-PBE) data for a geometry-optimized PrSmSn structure, as listed in Alexandria via LeMat-Bulk.

Lattice parameters (Å, degrees): 4.6672 4.6672 8.7896 90.00 90.00 90.00
With the nearest neighbours (Å) after each atom.
Space group P4/nmm (No. 129, origin choice 2)
One atom of each set of equivalent atoms:
Pr 0.2500 0.2500 0.1495 x2  5 Sn 3.29-3.37
Sm 0.2500 0.7500 0.5000 x2  4 Sm 3.30, 4 Sn 3.36
Sn 0.2500 0.2500 0.7748 x2  5 Pr 3.29-3.37, 4 Sm 3.36

Properties
calculated volume = 31.91 Å³/atom


The least stable of them is arrangement 1.